Record 1
A crystal of YAu2Se relaxed with PBEsol. Source: Alexandria via LeMat-Bulk, functional meta-GGA SCAN.

Unit cell a=3.7176 b=3.7176 c=6.1737 alpha=90.00 beta=90.00 gamma=90.00
Last column: nearest neighbours and their distance in Å.
Element x y z (fractional)
Y 0.0000 0.0000 0.0000  1 Au 2.79, 4 Se 2.83
Au 0.0000 0.0000 0.4517  4 Au 2.74, 1 Y 2.79
Au 0.5000 0.5000 0.3278  4 Au 2.74, 1 Se 3.06
Se 0.5000 0.5000 0.8323  4 Y 2.83, 2 Au 3.06-3.11

Properties
D(E_F): 0.424 states/eV/atom
Space-group type: No. 99

Record 2
A crystal of Y2AuSe relaxed with PBEsol. Source: Alexandria via LeMat-Bulk, functional meta-GGA SCAN.

Unit cell a=7.5127 b=7.5127 c=7.5127 alpha=30.43 beta=30.43 gamma=30.43
Last column: nearest neighbours and their distance in Å.
Element x y z (fractional)
Y 0.2493 0.2493 0.2493  3 Se 2.89, 3 Au 2.91
Y 0.7507 0.7507 0.7507  3 Se 2.89, 3 Au 2.91
Au 0.0000 0.0000 0.0000  6 Y 2.91
Se 0.5000 0.5000 0.5000  6 Y 2.89

Properties
D(E_F): 0.516 states/eV/atom
Space-group type: No. 166

Record 3
A crystal of Y2AuSe relaxed with PBEsol. Source: Alexandria via LeMat-Bulk, functional meta-GGA SCAN.

Unit cell a=5.1978 b=5.1978 c=5.1978 alpha=130.94 beta=116.80 gamma=83.91
Last column: nearest neighbours and their distance in Å.
Element x y z (fractional)
Y 0.2417 0.2417 0.0000  2 Se 2.85, 2 Au 2.94
Y 0.7583 0.7583 0.0000  2 Se 2.85, 2 Au 2.94
Au 0.5000 0.0000 0.5000  4 Y 2.94
Se 0.0000 0.5000 0.5000  4 Y 2.85

Properties
D(E_F): 0.755 states/eV/atom
Space-group type: No. 71

Record 4
A crystal of Y2AuSe relaxed with PBEsol. Source: Alexandria via LeMat-Bulk, functional meta-GGA SCAN.

Unit cell a=4.0591 b=4.0591 c=5.8778 alpha=90.00 beta=90.00 gamma=90.00
Last column: nearest neighbours and their distance in Å.
Element x y z (fractional)
Y 0.0000 0.0000 0.0000  4 Se 2.87, 2 Au 2.94
Y 0.5000 0.5000 0.5000  4 Au 2.87, 2 Se 2.94
Au 0.0000 0.0000 0.5000  6 Y 2.87-2.94
Se 0.5000 0.5000 0.0000  6 Y 2.87-2.94

Properties
D(E_F): 0.652 states/eV/atom
Space-group type: No. 123

Record 5
A crystal of Y2AuSe relaxed with PBEsol. Source: Alexandria via LeMat-Bulk, functional meta-GGA SCAN.

Unit cell a=5.0384 b=5.0384 c=3.4582 alpha=90.00 beta=90.00 gamma=90.00
Last column: nearest neighbours and their distance in Å.
Element x y z (fractional)
Y 0.0000 0.5000 0.0000  4 Se 3.06, 4 Au 3.06
Y 0.5000 0.0000 0.0000  4 Se 3.06, 4 Au 3.06
Au 0.0000 0.0000 0.5000  8 Y 3.06
Se 0.5000 0.5000 0.5000  8 Y 3.06

Properties
D(E_F): 0.684 states/eV/atom
Space-group type: No. 123

Record 6
A crystal of YAu2Se relaxed with PBEsol. Source: Alexandria via LeMat-Bulk, functional meta-GGA SCAN.

Unit cell a=4.8752 b=4.8752 c=4.8752 alpha=123.75 beta=117.61 gamma=88.91
Last column: nearest neighbours and their distance in Å.
Element x y z (fractional)
Y 0.0000 0.0000 0.0000  4 Au 2.91-3.04, 4 Se 2.93-3.05
Au 0.2571 0.7571 0.5000  4 Au 2.88-3.06, 4 Y 2.91-3.04, 1 Se 3.17
Au 0.5077 0.5077 0.0000  2 Se 2.71, 2 Au 2.88
Se 0.7127 0.2127 0.5000  2 Au 2.71, 2 Y 2.93

Properties
D(E_F): 0.701 states/eV/atom
Space-group type: No. 44

Record 7
A crystal of YAuSe relaxed with PBEsol. Source: Alexandria via LeMat-Bulk, functional meta-GGA SCAN.

Unit cell a=4.7564 b=4.7564 c=4.7564 alpha=60.00 beta=60.00 gamma=60.00
Last column: nearest neighbours and their distance in Å.
Element x y z (fractional)
Y 0.0000 0.0000 0.0000  4 Se 2.91, 4 Au 2.91
Au 0.7500 0.7500 0.7500  4 Y 2.91
Se 0.2500 0.2500 0.2500  4 Y 2.91

Properties
Space-group type: No. 216

Record 8
A crystal of YAu2Se relaxed with PBEsol. Source: Alexandria via LeMat-Bulk, functional meta-GGA SCAN.

Unit cell a=3.8774 b=3.8774 c=5.5060 alpha=90.00 beta=90.00 gamma=90.00
Last column: nearest neighbours and their distance in Å.
Element x y z (fractional)
Y 0.0000 0.0000 0.0000  2 Se 2.75, 8 Au 3.07
Au 0.5000 0.5000 0.2495  2 Au 2.75-2.76, 4 Y 3.07, 4 Se 3.07
Au 0.5000 0.5000 0.7505  2 Au 2.75-2.76, 4 Y 3.07, 4 Se 3.07
Se 0.0000 0.0000 0.5000  2 Y 2.75, 8 Au 3.07

Properties
D(E_F): 0.468 states/eV/atom
Space-group type: No. 123

Record 9
A crystal of YAuSe3 relaxed with PBEsol. Source: Alexandria via LeMat-Bulk, functional meta-GGA SCAN.

Unit cell a=5.3301 b=5.3301 c=5.3301 alpha=90.00 beta=90.00 gamma=90.00
Last column: nearest neighbours and their distance in Å.
Element x y z (fractional)
Y 0.0000 0.0000 0.0000  6 Se 2.67
Au 0.5000 0.5000 0.5000  12 Se 3.77
Se 0.0000 0.0000 0.5000  2 Y 2.67
Se 0.0000 0.5000 0.0000  2 Y 2.67
Se 0.5000 0.0000 0.0000  2 Y 2.67

Properties
D(E_F): 0.616 states/eV/atom
Space-group type: No. 221

Record 10
A crystal of Zn2AuSe relaxed with PBEsol. Source: Alexandria via LeMat-Bulk, functional meta-GGA SCAN.

Unit cell a=6.4045 b=6.4045 c=6.4045 alpha=33.72 beta=33.72 gamma=33.72
Last column: nearest neighbours and their distance in Å.
Element x y z (fractional)
Zn 0.2501 0.2501 0.2501  3 Au 2.62, 3 Se 2.62
Zn 0.7499 0.7499 0.7499  3 Au 2.62, 3 Se 2.62
Au 0.0000 0.0000 0.0000  6 Zn 2.62
Se 0.5000 0.5000 0.5000  6 Zn 2.62

Properties
D(E_F): 0.195 states/eV/atom
Space-group type: No. 166

Record 11
A crystal of Zn2AuSe relaxed with PBEsol. Source: Alexandria via LeMat-Bulk, functional meta-GGA SCAN.

Unit cell a=4.8861 b=4.8861 c=4.8861 alpha=130.15 beta=130.15 gamma=73.17
Last column: nearest neighbours and their distance in Å.
Element x y z (fractional)
Zn 0.2500 0.7500 0.5000  4 Se 2.84, 4 Au 2.84, 4 Zn 2.91
Zn 0.7500 0.2500 0.5000  4 Se 2.84, 4 Au 2.84, 4 Zn 2.91
Au 0.0000 0.0000 0.0000  8 Zn 2.84, 4 Se 2.91
Se 0.5000 0.5000 0.0000  8 Zn 2.84, 4 Au 2.91

Properties
D(E_F): 0.380 states/eV/atom
Space-group type: No. 139

Record 12
A crystal of ZnAu4Se relaxed with PBEsol. Source: Alexandria via LeMat-Bulk, functional meta-GGA SCAN.

Unit cell a=5.4104 b=5.4104 c=5.4104 alpha=60.00 beta=60.00 gamma=60.00
Last column: nearest neighbours and their distance in Å.
Element x y z (fractional)
Zn 0.0000 0.0000 0.0000  12 Au 3.17, 4 Se 3.31
Au 0.1241 0.6253 0.6253  6 Au 2.70-2.71
Au 0.6253 0.1241 0.6253  6 Au 2.70-2.71
Au 0.6253 0.6253 0.1241  6 Au 2.70-2.71
Au 0.6253 0.6253 0.6253  6 Au 2.70-2.71
Se 0.2500 0.2500 0.2500  12 Au 3.17, 4 Zn 3.31

Properties
D(E_F): 0.280 states/eV/atom
Space-group type: No. 216

Record 13
A crystal of SiAu3 relaxed with PBEsol. Source: Alexandria via LeMat-Bulk, functional meta-GGA SCAN.

Unit cell a=3.4110 b=3.4215 c=5.6628 alpha=90.00 beta=90.00 gamma=90.00
Last column: nearest neighbours and their distance in Å.
Element x y z (fractional)
Si 0.0000 0.0000 0.0000  10 Au 2.77-2.83
Au 0.0000 0.0000 0.5000  8 Au 2.83, 2 Si 2.83
Au 0.5000 0.5000 0.2403  6 Au 2.72-2.94, 4 Si 2.77
Au 0.5000 0.5000 0.7597  6 Au 2.72-2.94, 4 Si 2.77

Properties
D(E_F): 0.330 states/eV/atom
Space-group type: No. 47

Record 14
A crystal of SiAu3 relaxed with PBEsol. Source: Alexandria via LeMat-Bulk, functional meta-GGA SCAN.

Unit cell a=8.1592 b=8.1592 c=8.1592 alpha=22.01 beta=22.01 gamma=22.01
Last column: nearest neighbours and their distance in Å.
Element x y z (fractional)
Si 0.0000 0.0000 0.0000  6 Au 2.54
Au 0.2584 0.2584 0.2584  3 Si 2.54, 3 Au 2.83
Au 0.5000 0.5000 0.5000  12 Au 2.83-3.11
Au 0.7416 0.7416 0.7416  3 Si 2.54, 3 Au 2.83

Properties
D(E_F): 0.388 states/eV/atom
Space-group type: No. 166

Record 15
A crystal of SiAu3 relaxed with PBEsol. Source: Alexandria via LeMat-Bulk, functional meta-GGA SCAN.

Unit cell a=5.7345 b=7.1635 c=6.5962 alpha=90.00 beta=90.00 gamma=90.00
Last column: nearest neighbours and their distance in Å.
Element x y z (fractional)
Si 0.1706 0.2500 0.0833  7 Au 2.52-2.56
Si 0.3294 0.7500 0.5833  7 Au 2.52-2.56
Si 0.6706 0.2500 0.4167  7 Au 2.52-2.56
Si 0.8294 0.7500 0.9167  7 Au 2.52-2.56
Au 0.0050 0.2500 0.6636  1 Si 2.52, 2 Au 2.80
Au 0.2006 0.5535 0.8814  3 Si 2.53-2.56, 2 Au 2.80-2.82
Au 0.2006 0.9465 0.8814  3 Si 2.53-2.56, 2 Au 2.80-2.82
Au 0.2994 0.0535 0.3814  3 Si 2.53-2.56, 2 Au 2.80-2.82
Au 0.2994 0.4465 0.3814  3 Si 2.53-2.56, 2 Au 2.80-2.82
Au 0.4950 0.7500 0.1636  1 Si 2.52, 2 Au 2.80
Au 0.5050 0.2500 0.8364  1 Si 2.52, 2 Au 2.80
Au 0.7006 0.5535 0.6186  3 Si 2.53-2.56, 2 Au 2.80-2.82
Au 0.7006 0.9465 0.6186  3 Si 2.53-2.56, 2 Au 2.80-2.82
Au 0.7994 0.0535 0.1186  3 Si 2.53-2.56, 2 Au 2.80-2.82
Au 0.7994 0.4465 0.1186  3 Si 2.53-2.56, 2 Au 2.80-2.82
Au 0.9950 0.7500 0.3364  1 Si 2.52, 2 Au 2.80

Properties
D(E_F): 0.168 states/eV/atom
Space-group type: No. 62

Record 16
A crystal of SiAu3 relaxed with PBEsol. Source: Alexandria via LeMat-Bulk, functional meta-GGA SCAN.

Unit cell a=5.3136 b=5.3136 c=5.3136 alpha=148.56 beta=68.84 gamma=120.51
Last column: nearest neighbours and their distance in Å.
Element x y z (fractional)
Si 0.0000 0.0000 0.0000  6 Au 2.53-2.58
Au 0.3866 0.6743 0.7122  2 Si 2.53
Au 0.5939 0.0939 0.5000  2 Si 2.58, 2 Au 2.88
Au 0.9621 0.6743 0.2878  2 Si 2.53

Properties
D(E_F): 0.325 states/eV/atom
Space-group type: No. 44

Record 17
A crystal of Si3Au relaxed with PBEsol. Source: Alexandria via LeMat-Bulk, functional meta-GGA SCAN.

Unit cell a=2.6425 b=3.3169 c=7.0120 alpha=90.00 beta=90.00 gamma=90.00
Last column: nearest neighbours and their distance in Å.
Element x y z (fractional)
Si 0.0000 0.0000 0.0000  10 Si 2.64-2.69
Si 0.5000 0.5000 0.2360  6 Si 2.64-2.69, 4 Au 2.81
Si 0.5000 0.5000 0.7640  6 Si 2.64-2.69, 4 Au 2.81
Au 0.0000 0.0000 0.5000  2 Au 2.64, 8 Si 2.81

Properties
D(E_F): 0.317 states/eV/atom
Space-group type: No. 47

Record 18
A crystal of Si3Au2 relaxed with PBEsol. Source: Alexandria via LeMat-Bulk, functional meta-GGA SCAN.

Unit cell a=7.6205 b=6.2265 c=9.4449 alpha=53.53 beta=41.08 gamma=85.39
Last column: nearest neighbours and their distance in Å.
Element x y z (fractional)
Si 0.0000 0.0000 0.0000  2 Si 2.41, 2 Au 2.46
Si 0.2500 0.2500 0.2500  2 Si 2.41, 2 Au 2.46
Si 0.4578 0.7051 0.3017  1 Si 2.41, 3 Au 2.54-2.57
Si 0.7051 0.4578 0.5354  1 Si 2.41, 3 Au 2.54-2.57
Si 0.7146 0.9483 0.5449  1 Si 2.41, 3 Au 2.54-2.57
Si 0.9483 0.7146 0.7922  1 Si 2.41, 3 Au 2.54-2.57
Au 0.2251 0.5021 0.8302  5 Si 2.46-2.74
Au 0.4198 0.8073 0.0249  5 Si 2.46-2.74
Au 0.5021 0.2251 0.4427  5 Si 2.46-2.74
Au 0.8073 0.4198 0.7479  5 Si 2.46-2.74

Properties
D(E_F): 0.382 states/eV/atom
Space-group type: No. 43

Record 19
A crystal of Si2Au7 relaxed with PBEsol. Source: Alexandria via LeMat-Bulk, functional meta-GGA SCAN.

Unit cell a=5.6644 b=5.6644 c=11.8540 alpha=90.00 beta=90.00 gamma=53.42
Last column: nearest neighbours and their distance in Å.
Element x y z (fractional)
Si 0.1594 0.8406 0.6079  7 Au 2.51-2.61
Si 0.1594 0.8406 0.8921  7 Au 2.51-2.61
Si 0.8406 0.1594 0.1079  7 Au 2.51-2.61
Si 0.8406 0.1594 0.3921  7 Au 2.51-2.61
Au 0.0875 0.2984 0.2500  2 Si 2.59, 5 Au 2.80-2.90
Au 0.1170 0.6004 0.0663  2 Si 2.56-2.61, 4 Au 2.70-2.86
Au 0.1170 0.6004 0.4337  2 Si 2.56-2.61, 4 Au 2.70-2.86
Au 0.2984 0.0875 0.7500  2 Si 2.59, 5 Au 2.80-2.90
Au 0.3996 0.8830 0.0663  2 Si 2.56-2.61, 4 Au 2.70-2.86
Au 0.3996 0.8830 0.4337  2 Si 2.56-2.61, 4 Au 2.70-2.86
Au 0.4738 0.5262 0.2500  2 Si 2.51
Au 0.5262 0.4738 0.7500  2 Si 2.51
Au 0.6004 0.1170 0.5663  2 Si 2.56-2.61, 4 Au 2.70-2.86
Au 0.6004 0.1170 0.9337  2 Si 2.56-2.61, 4 Au 2.70-2.86
Au 0.7016 0.9125 0.2500  2 Si 2.59, 5 Au 2.80-2.90
Au 0.8830 0.3996 0.5663  2 Si 2.56-2.61, 4 Au 2.70-2.86
Au 0.8830 0.3996 0.9337  2 Si 2.56-2.61, 4 Au 2.70-2.86
Au 0.9125 0.7016 0.7500  2 Si 2.59, 5 Au 2.80-2.90

Properties
D(E_F): 0.305 states/eV/atom
Space-group type: No. 63

Record 20
A crystal of SiAu2 relaxed with PBEsol. Source: Alexandria via LeMat-Bulk, functional meta-GGA SCAN.

Unit cell a=6.2751 b=6.2751 c=6.1015 alpha=90.00 beta=90.00 gamma=153.59
Last column: nearest neighbours and their distance in Å.
Element x y z (fractional)
Si 0.1135 0.8865 0.5000  7 Au 2.49-2.65
Si 0.8865 0.1135 0.0000  7 Au 2.49-2.65
Au 0.2388 0.7612 0.8360  3 Si 2.51-2.56
Au 0.4718 0.5282 0.3232  4 Si 2.49-2.65
Au 0.5282 0.4718 0.8232  4 Si 2.49-2.65
Au 0.7612 0.2388 0.3360  3 Si 2.51-2.56

Properties
D(E_F): 0.135 states/eV/atom
Space-group type: No. 36

E_tot (computed, eV/cell): -189.8; -151.2; -149.7; -151.1; -150.0; -189.4; -120.9; -189.5; -157.3; -117.3; -115.7; -308.9; -217.1; -217.5; -871.0; -217.4; -97.2; -335.2; -1007.8; -297.0
Formation energy without anion corrections (computed, eV/atom): -0.893; -1.558; -1.195; -1.537; -1.260; -0.791; -1.284; -0.806; -0.020; -0.251; 0.133; 0.228; 0.103; 0.000; -0.067; 0.031; 0.505; 0.156; 0.028; -0.059